No. 1
Entry from the Alexandria database: a geometry-optimized HfZn2SbRh structure (GGA-PBEsol).

Output
SG: P4/mmm (123)
Raw formation energy in meV per atom: 1336
Spin magnetization in μB per cell: 0.652

Lattice parameters (Å, degrees): 4.9066 4.9066 5.2841 90.00 90.00 90.00
With the nearest neighbours (Å) after each atom.
Positions (direct):
Sb 0.0000 0.0000 0.5000  2 Hf 2.64
Zn 0.5000 0.0000 0.0000  2 Hf 2.45
Zn 0.0000 0.5000 0.0000  2 Hf 2.45
Rh 0.5000 0.5000 0.5000  4 Sb 3.47, 8 Zn 3.61
Hf 0.0000 0.0000 0.0000  4 Zn 2.45, 2 Sb 2.64



No. 2
Entry from the Alexandria database: a geometry-optimized HfScRh2 structure (GGA-PBEsol).

Output
SG: Fm-3m (225)
Energy relative to the elements in eV/atom: -0.931
Spin magnetization in μB per cell: 0.000

Lattice parameters (Å, degrees): 4.5313 4.5313 4.5313 60.00 60.00 60.00
With the nearest neighbours (Å) after each atom.
Positions (direct):
Hf 0.5000 0.5000 0.5000  8 Rh 2.77
Rh 0.7500 0.7500 0.7500  4 Hf 2.77, 4 Sc 2.77
Sc 0.0000 0.0000 0.0000  8 Rh 2.77
Rh 0.2500 0.2500 0.2500  4 Sc 2.77, 4 Hf 2.77



No. 3
Entry from the Alexandria database: a geometry-optimized Hf3RhSe structure (GGA-PBEsol).

Output
SG: Pm-3m (221)
Raw formation energy in meV per atom: 142
Spin magnetization in μB per cell: 0.000

Lattice parameters (Å, degrees): 4.9109 4.9109 4.9109 90.00 90.00 90.00
With the nearest neighbours (Å) after each atom.
Positions (direct):
Hf 0.0000 0.5000 0.0000  2 Rh 2.46
Rh 0.0000 0.0000 0.0000  6 Hf 2.46
Hf 0.5000 0.0000 0.0000  2 Rh 2.46
Hf 0.0000 0.0000 0.5000  2 Rh 2.46
Se 0.5000 0.5000 0.5000  12 Hf 3.47



No. 4
Entry from the Alexandria database: a geometry-optimized HfZnRhSe2 structure (GGA-PBEsol).

Output
SG: P4/mmm (123)
Raw formation energy in meV per atom: 431
Spin magnetization in μB per cell: 0.000

Lattice parameters (Å, degrees): 4.4892 4.6606 4.6606 90.00 90.00 90.00
With the nearest neighbours (Å) after each atom.
Positions (direct):
Se 0.0000 0.5000 0.0000  2 Zn 2.33
Zn 0.0000 0.0000 0.0000  2 Rh 2.24, 4 Se 2.33
Se 0.0000 0.0000 0.5000  2 Zn 2.33
Rh 0.5000 0.0000 0.0000  2 Zn 2.24
Hf 0.5000 0.5000 0.5000  8 Se 3.24, 4 Rh 3.30



No. 5
Entry from the Alexandria database: a geometry-optimized HfSi3Rh structure (GGA-PBEsol).

Output
SG: Pm-3m (221)
Raw formation energy in meV per atom: 450
Spin magnetization in μB per cell: 0.006

Lattice parameters (Å, degrees): 4.5295 4.5295 4.5295 90.00 90.00 90.00
With the nearest neighbours (Å) after each atom.
Positions (direct):
Hf 0.5000 0.5000 0.5000  12 Si 3.20
Rh 0.0000 0.0000 0.0000  6 Si 2.26
Si 0.0000 0.0000 0.5000  2 Rh 2.26
Si 0.0000 0.5000 0.0000  2 Rh 2.26
Si 0.5000 0.0000 0.0000  2 Rh 2.26



No. 6
Entry from the Alexandria database: a geometry-optimized Hf2Si2Rh structure (GGA-PBEsol).

Output
SG: P4/mbm (127)
Raw formation energy in meV per atom: -1030
Spin magnetization in μB per cell: 0.000

Lattice parameters (Å, degrees): 4.1064 6.2178 6.2178 90.00 90.00 90.00
With the nearest neighbours (Å) after each atom.
Positions (direct):
Si 0.0000 0.1362 0.3638  1 Si 2.40, 2 Rh 2.42, 2 Hf 2.68
Hf 0.5000 0.8313 0.3313  6 Si 2.68-2.80, 1 Hf 2.97
Si 0.0000 0.3638 0.8638  1 Si 2.40, 2 Rh 2.42, 2 Hf 2.68
Rh 0.0000 0.0000 0.0000  4 Si 2.42
Rh 0.0000 0.5000 0.5000  4 Si 2.42
Si 0.0000 0.8638 0.6362  1 Si 2.40, 2 Rh 2.42, 2 Hf 2.68
Hf 0.5000 0.6687 0.8313  6 Si 2.68-2.80, 1 Hf 2.97
Hf 0.5000 0.1687 0.6687  6 Si 2.68-2.80, 1 Hf 2.97
Si 0.0000 0.6362 0.1362  1 Si 2.40, 2 Rh 2.42, 2 Hf 2.68
Hf 0.5000 0.3313 0.1687  6 Si 2.68-2.80, 1 Hf 2.97